TlRe2Pb (GGA-PBE, relaxed); E above lowest polymorph = 1273 meV per atom; volume = 21.25 A^3/atom; raw total energy = -6.0243 eV/atom; energy of formation = 1.72 eV per atom
1.0
7.786 0.000 0.000
0.000 7.786 0.000
3.893 3.893 2.804
Tl Re Pb
2 4 2
Cartesian
3.893 3.893 0.000
3.893 7.786 1.402
5.839 5.817 2.103
1.924 5.839 0.701
9.732 9.754 2.103
5.861 1.946 0.701
7.786 3.893 1.402
0.000 0.000 0.000

***

Tb7Dy3Sc (GGA-PBE, relaxed); E above lowest polymorph = 110 meV per atom; volume = 32.26 A^3/atom; raw total energy = -4.5196 eV/atom; energy of formation = 0.26 eV per atom
1.0
-4.259 0.577 3.767
-0.322 -7.592 -3.536
6.788 -3.102 3.814
Dy Tb Sc
3 7 1
Cartesian
-2.129 0.288 1.883
5.330 -4.023 2.307
1.136 -6.671 -2.029
3.233 -5.347 0.139
0.468 -2.167 0.871
-1.388 -4.423 -0.894
2.750 -1.810 3.384
3.595 -5.694 4.939
-0.543 -8.307 0.661
1.740 -7.951 3.174
1.104 -5.059 2.022

***

Ho4IrAu3 (GGA-PBE, relaxed); volume = 22.24 A^3/atom; raw total energy = -5.4939 eV/atom; energy of formation = -0.87 eV per atom
1.0
-3.120 0.843 1.423
0.375 -2.598 2.363
6.506 9.042 8.909
Au Ir Ho
3 1 4
Cartesian
0.235 1.358 4.095
1.880 3.644 6.347
3.525 5.930 8.600
-1.373 -0.877 1.893
4.093 5.689 5.605
0.743 1.032 1.017
5.764 8.010 7.893
2.413 3.353 3.304

***

Sr6Pd2SI3 (GGA-PBE, relaxed); volume = 35.66 A^3/atom; raw total energy = -3.6159 eV/atom
1.0
7.785 0.000 0.000
-3.890 6.743 0.000
-1.299 -2.249 8.152
Pd I Sr S
2 3 6 1
Cartesian
-0.002 4.497 0.000
3.896 2.246 0.000
1.298 2.247 4.076
5.224 -0.021 4.076
-2.629 4.514 4.076
2.600 4.502 1.599
0.011 4.495 6.551
2.584 -0.001 1.600
-1.292 2.237 1.600
3.888 2.256 6.551
-0.005 -0.008 6.552
0.000 0.000 0.000

***

Ca4TeAs2 (GGA-PBE, relaxed); volume = 35.54 A^3/atom; raw total energy = -4.1665 eV/atom
1.0
7.956 -0.915 -3.853
-4.617 7.512 -1.116
-0.562 0.915 8.822
Ca As Te
8 4 2
Cartesian
5.211 0.978 0.231
4.542 1.197 4.643
2.558 4.427 4.180
1.380 1.197 2.517
-1.567 5.123 5.747
3.227 4.208 -0.231
1.129 1.605 6.306
-1.316 4.715 1.959
3.885 2.703 2.206
4.166 2.245 -2.206
-2.402 6.916 3.574
-0.094 3.160 4.132
0.000 0.000 0.000
0.375 5.405 -0.558

***

KCo2Cu (GGA-PBE, relaxed); E above lowest polymorph = 682 meV per atom; volume = 16.35 A^3/atom; raw total energy = -3.6411 eV/atom; energy of formation = 1.21 eV per atom
1.0
5.049 0.000 0.000
0.000 5.049 0.000
0.000 0.000 2.566
K Co Cu
1 2 1
Cartesian
0.000 2.524 1.283
0.000 0.000 0.000
2.524 2.524 0.000
2.524 0.000 1.283

***

Sn2BiAsCl (GGA-PBE, relaxed); volume = 36.80 A^3/atom; raw total energy = -3.0980 eV/atom
1.0
5.977 0.000 0.000
0.000 5.150 0.000
0.000 0.000 5.977
Bi As Sn Cl
1 1 2 1
Cartesian
0.000 0.000 0.000
2.989 2.575 2.989
0.000 0.000 2.989
2.989 0.000 0.000
0.000 2.575 0.000

***

Dy2Ga6Tc (GGA-PBE, relaxed); volume = 18.69 A^3/atom; raw total energy = -4.6571 eV/atom; energy of formation = -0.46 eV per atom
1.0
-0.915 -5.636 0.803
5.621 -1.053 -0.991
3.777 0.015 4.407
Dy Ga Tc
2 6 1
Cartesian
2.988 -1.238 1.266
5.495 -5.436 2.953
2.817 -3.998 3.233
3.692 -4.504 0.673
5.666 -2.676 0.986
1.026 -4.005 1.143
7.457 -2.669 3.076
4.791 -2.170 3.546
0.000 0.000 0.000